# 1
DFT (GGA-PBE) results for Ca2Cd2Pd after structural relaxation.

```
data_Ca2Cd2Pd
_cell_length_a 7.185
_cell_length_b 7.185
_cell_length_c 7.185
_cell_angle_alpha 140.53
_cell_angle_beta 140.53
_cell_angle_gamma 57.05
_space_group_name_H-M_alt 'P 1'
_space_group_IT_number 1
_space_group_name_Hall 'P 1'
loop_
_atom_site_label
_atom_site_type_symbol
_atom_site_fract_x
_atom_site_fract_y
_atom_site_fract_z
Ca1 Ca 0.250 0.750 0.500
Ca2 Ca 0.750 0.250 0.500
Cd1 Cd 0.103 0.103 0.000
Cd2 Cd 0.897 0.897 0.000
Pd1 Pd 0.500 0.500 0.000
```

## Properties
The value obtained for the spin magnetization is 0.0 μB per cell. The calculated formation energy comes out at 0.24 eV/atom. As for the excess energy over the best structure of this formula in the dataset: 714.8 meV/atom. The theoretical density comes out at 4.595 Mg/m³.

---

# 2
DFT (GGA-PBE) results for Ca2Cd5Pd4 after structural relaxation.

```
data_Ca2Cd5Pd4
_cell_length_a 10.171
_cell_length_b 9.441
_cell_length_c 5.579
_cell_angle_alpha 80.81
_cell_angle_beta 66.40
_cell_angle_gamma 32.79
_space_group_name_H-M_alt 'P 1'
_space_group_IT_number 1
_space_group_name_Hall 'P 1'
loop_
_atom_site_label
_atom_site_type_symbol
_atom_site_fract_x
_atom_site_fract_y
_atom_site_fract_z
Ca1 Ca 0.134 0.134 0.866
Ca2 Ca 0.866 0.866 0.134
Cd1 Cd 0.000 0.000 0.500
Cd2 Cd 0.250 0.250 0.250
Cd3 Cd 0.500 0.500 0.000
Cd4 Cd 0.500 0.500 0.500
Cd5 Cd 0.750 0.750 0.750
Pd1 Pd 0.209 0.536 0.464
Pd2 Pd 0.464 0.791 0.209
Pd3 Pd 0.536 0.209 0.791
Pd4 Pd 0.791 0.464 0.536
```

## Properties
The value obtained for the spin magnetization is 0.0 μB per cell. The calculated formation energy comes out at -0.40 eV/atom. The theoretical density comes out at 7.139 Mg/m³.

---

# 3
DFT (GGA-PBE) results for Ca5Cd2Pd2 after structural relaxation.

```
data_Ca5Cd2Pd2
_cell_length_a 9.135
_cell_length_b 9.135
_cell_length_c 7.883
_cell_angle_alpha 90.00
_cell_angle_beta 90.00
_cell_angle_gamma 50.50
_space_group_name_H-M_alt 'P 1'
_space_group_IT_number 1
_space_group_name_Hall 'P 1'
loop_
_atom_site_label
_atom_site_type_symbol
_atom_site_fract_x
_atom_site_fract_y
_atom_site_fract_z
Ca1 Ca 0.000 0.000 0.000
Ca2 Ca 0.049 0.705 0.672
Ca3 Ca 0.205 0.549 0.172
Ca4 Ca 0.295 0.951 0.672
Ca5 Ca 0.451 0.795 0.172
Ca6 Ca 0.500 0.500 0.500
Ca7 Ca 0.549 0.205 0.828
Ca8 Ca 0.705 0.049 0.328
Ca9 Ca 0.795 0.451 0.828
Ca10 Ca 0.951 0.295 0.328
Cd1 Cd 0.216 0.216 0.000
Cd2 Cd 0.284 0.284 0.500
Cd3 Cd 0.716 0.716 0.500
Cd4 Cd 0.784 0.784 0.000
Pd1 Pd 0.125 0.875 0.374
Pd2 Pd 0.375 0.625 0.874
Pd3 Pd 0.625 0.375 0.126
Pd4 Pd 0.875 0.125 0.626
```

## Properties
The value obtained for the spin magnetization is 0.0 μB per cell. The calculated formation energy comes out at -0.46 eV/atom. The theoretical density comes out at 4.174 Mg/m³.

---

# 4
DFT (GGA-PBE) results for Ca3Cd2Pd4 after structural relaxation.

```
data_Ca3Cd2Pd4
_cell_length_a 5.567
_cell_length_b 5.567
_cell_length_c 8.894
_cell_angle_alpha 95.33
_cell_angle_beta 95.33
_cell_angle_gamma 48.58
_space_group_name_H-M_alt 'P 1'
_space_group_IT_number 1
_space_group_name_Hall 'P 1'
loop_
_atom_site_label
_atom_site_type_symbol
_atom_site_fract_x
_atom_site_fract_y
_atom_site_fract_z
Ca1 Ca 0.000 0.000 0.000
Ca2 Ca 0.373 0.373 0.613
Ca3 Ca 0.627 0.627 0.387
Cd1 Cd 0.320 0.320 0.227
Cd2 Cd 0.680 0.680 0.773
Pd1 Pd 0.082 0.082 0.631
Pd2 Pd 0.276 0.276 0.913
Pd3 Pd 0.724 0.724 0.087
Pd4 Pd 0.918 0.918 0.369
```

## Properties
The value obtained for the spin magnetization is 0.0 μB per cell. The calculated formation energy comes out at -0.60 eV/atom. The theoretical density comes out at 6.225 Mg/m³.

---

Question: The lowest calculated formation energy belongs to which entry?
Answer: Ca3Cd2Pd4

---

Question: The highest theoretical density belongs to which entry?
Answer: Ca2Cd5Pd4